A relaxed structure of Zr2ScNi2. Source: Alexandria, functional GGA-PBE.

As for the spin magnetization: 0.00 μB/atom. The calculation puts the total energy at -7.1793 eV per atom. As for the distance to the lowest polymorph of the same formula: 0.180 eV per atom. The calculation puts the density at 5.89 g/cm3. The value obtained for the calculated formation energy is -181 meV per atom.

The structure belongs to space group I4/mmm (No. 139); the cell edges are 4.508, 4.508 and 9.576 Å and the angles 90.00°, 90.00° and 90.00°. The inequivalent atoms are Zr at (0.000, 0.500, 0.250), Sc at (0.000, 0.000, 0.000) and Ni at (0.000, 0.000, 0.383).

A relaxed structure of ZrScNi2. Source: Alexandria, functional GGA-PBE.

As for the spin magnetization: 0.00 μB/atom. The calculation puts the total energy at -6.8514 eV per atom. The calculation puts the density at 6.53 g/cm3. The value obtained for the calculated formation energy is -241 meV per atom.

The structure belongs to space group I-4m2 (No. 119); the cell edges are 3.817, 3.817 and 8.850 Å and the angles 90.00°, 90.00° and 90.00°. The inequivalent atoms are Zr at (0.000, 0.000, 0.000), Sc at (0.000, 0.500, 0.250), Ni at (0.000, 0.000, 0.500) and Ni at (0.000, 0.500, 0.750).

A relaxed structure of Zr3Sc2Ni2. Source: Alexandria, functional GGA-PBE.

As for the spin magnetization: 0.00 μB/atom. The calculation puts the total energy at -7.3830 eV per atom. The calculation puts the density at 5.73 g/cm3. The value obtained for the calculated formation energy is -259 meV per atom.

The structure belongs to space group C2/m (No. 12); the cell edges are 11.038, 3.325 and 8.218 Å and the angles 90.00°, 112.35° and 90.00°. The inequivalent atoms are Zr at (0.000, 0.000, 0.000), Zr at (0.116, 0.000, 0.441), Sc at (0.155, 0.500, 0.806) and Ni at (0.161, 0.500, 0.219).

A relaxed structure of ZrScNi2. Source: Alexandria, functional GGA-PBE.

As for the spin magnetization: 0.00 μB/atom. The calculation puts the total energy at -7.0321 eV per atom. The calculation puts the density at 6.41 g/cm3. The value obtained for the calculated formation energy is -421 meV per atom.

The structure belongs to space group Pmmm (No. 47); the cell edges are 3.151, 3.246 and 6.418 Å and the angles 90.00°, 90.00° and 90.00°. The inequivalent atoms are Zr at (0.000, 0.000, 0.000), Sc at (0.000, 0.000, 0.500) and Ni at (0.500, 0.500, 0.243).

A relaxed structure of ZrSc2Ni4. Source: Alexandria, functional GGA-PBE.

As for the spin magnetization: 0.00 μB/atom. The calculation puts the total energy at -6.5182 eV per atom. The calculation puts the density at 5.75 g/cm3. The value obtained for the calculated formation energy is -184 meV per atom.

The structure belongs to space group R-3m (No. 166, hexagonal axes); the cell edges are 4.3808, 4.3808 and 21.6891 Å and the angles 90.00°, 90.00° and 120.00°. The inequivalent atoms are Zr at (0.0000, 0.0000, 0.0000), Sc at (0.0000, 0.0000, 0.2390), Ni at (0.0000, 0.0000, 0.1196) and Ni at (0.0000, 0.0000, 0.3684).

A relaxed structure of Zr2ScNi9. Source: Alexandria, functional GGA-PBE.

As for the spin magnetization: 0.00 μB/atom. The calculation puts the total energy at -6.7290 eV per atom. As for the distance to the lowest polymorph of the same formula: 0.000 eV per atom. The calculation puts the density at 7.99 g/cm3. The value obtained for the calculated formation energy is -441 meV per atom.

The structure belongs to space group P4/mmm (No. 123); the cell edges are 3.741, 3.741 and 11.214 Å and the angles 90.00°, 90.00° and 90.00°. The inequivalent atoms are Zr at (0.000, 0.000, 0.170), Sc at (0.000, 0.000, 0.500), Ni at (0.000, 0.500, 0.000), Ni at (0.000, 0.500, 0.335), Ni at (0.500, 0.500, 0.166) and Ni at (0.500, 0.500, 0.500).